The following is a DFT calculation (GGA-PBE) of Th4Ni2Ru after structural relaxation.

Values from the calculation:
* energy: -7.53 eV/atom
* ΔE_f: -2.17 eV per formula unit
* crystal system: orthorhombic

```
data_Th4Ni2Ru
_symmetry_space_group_name_H-M 'I m m a'
_symmetry_Int_Tables_number 74
_symmetry_space_group_name_Hall '-I 2b 2'
_cell_length_a 8.797
_cell_length_b 8.799
_cell_length_c 9.181
_cell_angle_alpha 90.00
_cell_angle_beta 90.00
_cell_angle_gamma 90.00
loop_
_atom_site_label
_atom_site_type_symbol
_atom_site_fract_x
_atom_site_fract_y
_atom_site_fract_z
Th1 Th 0.000 0.054 0.196
Th2 Th 0.196 0.250 0.554
Ni1 Ni 0.000 0.000 0.500
Ni2 Ni 0.250 0.250 0.250
Ru1 Ru 0.000 0.250 0.875
```

***

The following is a DFT calculation (GGA-PBE) of Cs4NaI3 after structural relaxation.

Values from the calculation:
* energy: -2.27 eV/atom
* crystal system: cubic
* raw formation energy: -1.10 eV per atom

```
data_Cs4NaI3
_symmetry_space_group_name_H-M 'P m -3 m'
_symmetry_Int_Tables_number 221
_symmetry_space_group_name_Hall '-P 4 2 3'
_cell_length_a 8.011
_cell_length_b 8.011
_cell_length_c 8.011
_cell_angle_alpha 90.00
_cell_angle_beta 90.00
_cell_angle_gamma 90.00
loop_
_atom_site_label
_atom_site_type_symbol
_atom_site_fract_x
_atom_site_fract_y
_atom_site_fract_z
Cs1 Cs 0.000 0.000 0.000
Cs2 Cs 0.000 0.500 0.500
Na1 Na 0.500 0.500 0.500
I1 I 0.000 0.000 0.500
```

***

The following is a DFT calculation (GGA-PBE) of YTaSn2Te after structural relaxation.

Values from the calculation:
* energy: -4.66 eV/atom
* crystal system: tetragonal
* raw formation energy: 1.24 eV per atom

```
data_YTaSn2Te
_symmetry_space_group_name_H-M 'P 4/m m m'
_symmetry_Int_Tables_number 123
_symmetry_space_group_name_Hall '-P 4 2'
_cell_length_a 5.720
_cell_length_b 5.720
_cell_length_c 5.212
_cell_angle_alpha 90.00
_cell_angle_beta 90.00
_cell_angle_gamma 90.00
loop_
_atom_site_label
_atom_site_type_symbol
_atom_site_fract_x
_atom_site_fract_y
_atom_site_fract_z
Y1 Y 0.000 0.000 0.000
Ta1 Ta 0.000 0.000 0.500
Sn1 Sn 0.000 0.500 0.000
Te1 Te 0.500 0.500 0.500
```